Entry 1:
Below is an optimized crystal structure of CuSiSb, with properties calculated at the PBE-GGA level.

abc: 6.188 6.188 6.188
angles: 90.00 90.00 90.00
Space group F-43m (No. 216)
Unique sites:
Cu (0.000, 0.000, 0.000) x4
Si (0.250, 0.250, 0.250) x4
Sb (0.250, 0.250, 0.750) x4

Values from the calculation:
energy relative to the elements, uncorrected	261.9	meV/atom
size of the total moment	0.00	μB/atom
electronic total energy	-4.285	eV per atom
excess energy over the best structure of this formula in the dataset	0	meV/atom

---

Entry 2:
Below is an optimized crystal structure of CuSiSb3, with properties calculated at the PBE-GGA level.

abc: 5.062 5.062 5.062
angles: 90.00 90.00 90.00
Space group Pm-3m (No. 221)
Unique sites:
Cu (0.000, 0.000, 0.000) x1
Si (0.500, 0.500, 0.500) x1
Sb (0.000, 0.000, 0.500) x3

Values from the calculation:
energy relative to the elements, uncorrected	731.2	meV/atom
size of the total moment	0.00	μB/atom
electronic total energy	-3.646	eV per atom
excess energy over the best structure of this formula in the dataset	0	meV/atom